LiTeP2 at its PBEsol-relaxed geometry. Source: the Alexandria database, functional meta-GGA SCAN.

The space group is P4mm (No. 99) and the conventional cell measures 3.101, 3.101 and 7.916 Å, with angles of 90.00, 90.00 and 90.00 degrees. Symmetry generates all atoms from Li at (0.000, 0.000, 0.000), Te at (0.500, 0.500, 0.723), P at (0.000, 0.000, 0.344) and P at (0.500, 0.500, 0.234).

The total energy is -60.8 eV for the cell shown. The formation energy without anion corrections is -0.093 eV per atom. The total magnetic moment is 0.00 μB per cell.

LiTe2P at its PBEsol-relaxed geometry. Source: the Alexandria database, functional meta-GGA SCAN.

The space group is Pmmm (No. 47) and the conventional cell measures 3.972, 3.992 and 5.582 Å, with angles of 90.00, 90.00 and 90.00 degrees. Symmetry generates all atoms from Li at (0.000, 0.000, 0.000), Te at (0.500, 0.000, 0.500), Te at (0.500, 0.500, 0.000) and P at (0.000, 0.500, 0.500).

The total energy is -86.9 eV for the cell shown. The formation energy without anion corrections is 0.094 eV per atom. The total magnetic moment is 0.00 μB per cell.

LiTeP2 at its PBEsol-relaxed geometry. Source: the Alexandria database, functional meta-GGA SCAN.

The space group is P4/mmm (No. 123) and the conventional cell measures 3.762, 3.762 and 4.975 Å, with angles of 90.00, 90.00 and 90.00 degrees. Symmetry generates all atoms from Li at (0.000, 0.000, 0.000), Te at (0.500, 0.500, 0.000) and P at (0.000, 0.500, 0.500).

The total energy is -59.4 eV for the cell shown. The formation energy without anion corrections is 0.267 eV per atom. The total magnetic moment is 0.00 μB per cell.